1.
A plane-wave DFT calculation with GGA-PBE was carried out for crystalline La3Nd4Er2 at its relaxed geometry.

Cell: 6.5462 10.0409 10.0409 Å, 72.22 94.98 94.98°
With the nearest neighbours (Å) after each atom.
Element x y z (fractional)
Er1 0.0788 0.5289 0.8138  6 Nd 3.40-3.72, 3 La 3.53-3.77
Er2 0.5788 0.8137 0.5289  6 Nd 3.40-3.72, 3 La 3.53-3.77
Er3 0.4212 0.1863 0.4711  6 Nd 3.40-3.72, 3 La 3.53-3.77
Er4 0.9212 0.4711 0.1862  6 Nd 3.40-3.72, 3 La 3.53-3.77
La1 0.0263 0.1939 0.6867  2 La 3.27-3.33, 4 Nd 3.46-3.53, 1 Er 3.53
La2 0.2500 0.5381 0.4619  4 La 3.27-3.40, 2 Er 3.55
La3 0.4737 0.3133 0.8061  2 La 3.27-3.33, 4 Nd 3.46-3.53, 1 Er 3.53
La4 0.9737 0.8061 0.3133  2 La 3.27-3.33, 4 Nd 3.46-3.53, 1 Er 3.53
La5 0.5263 0.6867 0.1939  2 La 3.27-3.33, 4 Nd 3.46-3.53, 1 Er 3.53
La6 0.7500 0.4619 0.5381  4 La 3.27-3.40, 2 Er 3.55
Nd1 0.6077 0.6343 0.8759  3 Nd 3.35-3.71, 4 Er 3.40-3.60, 2 La 3.48-3.53
Nd2 0.8923 0.1241 0.3657  3 Nd 3.35-3.71, 4 Er 3.40-3.60, 2 La 3.48-3.53
Nd3 0.3923 0.3657 0.1241  3 Nd 3.35-3.71, 4 Er 3.40-3.60, 2 La 3.48-3.53
Nd4 0.5860 0.9805 0.8136  2 Nd 3.35-3.71, 2 La 3.46-3.52, 2 Er 3.56-3.72
Nd5 0.1077 0.8759 0.6343  3 Nd 3.35-3.71, 4 Er 3.40-3.60, 2 La 3.48-3.53
Nd6 0.4140 0.0195 0.1864  2 Nd 3.35-3.71, 2 La 3.46-3.52, 2 Er 3.56-3.72
Nd7 0.0860 0.8136 0.9805  2 Nd 3.35-3.71, 2 La 3.46-3.52, 2 Er 3.56-3.72
Nd8 0.9140 0.1864 0.0195  2 Nd 3.35-3.71, 2 La 3.46-3.52, 2 Er 3.56-3.72

Summary:
SG	C2/c (15)
polymorph energy (0 for the lowest one)	17	meV per atom


2.
A plane-wave DFT calculation with GGA-PBE was carried out for crystalline NbHPd at its relaxed geometry.

Cell: 2.9518 2.9518 4.7361 Å, 90.00 90.00 120.00°
With the nearest neighbours (Å) after each atom.
Element x y z (fractional)
Pd1 0.0000 0.0000 0.0608  3 H 2.20
H1 0.6667 0.3333 0.3547  3 Nb 2.02, 3 Pd 2.20
Nb1 0.3333 0.6667 0.5845  3 H 2.02

Summary:
SG	P3m1 (156)
polymorph energy (0 for the lowest one)	64	meV per atom


3.
A plane-wave DFT calculation with GGA-PBE was carried out for crystalline TcTeAu2 at its relaxed geometry.

Cell: 5.1440 5.1440 5.1440 Å, 131.44 131.44 71.11°
With the nearest neighbours (Å) after each atom.
Element x y z (fractional)
Tc1 0.5000 0.5000 0.0000  4 Te 2.98, 8 Au 2.98-2.99
Au1 0.0000 0.0000 0.0000  4 Au 2.98, 4 Te 2.98, 4 Tc 2.99
Au2 0.2500 0.7500 0.5000  4 Au 2.98, 4 Tc 2.98, 4 Te 2.99
Te1 0.7500 0.2500 0.5000  4 Tc 2.98, 8 Au 2.98-2.99

Summary:
SG	I-4m2 (119)
formation energy from raw total energies	1.9	eV/f.u.


no.,DOS(E_F) (states/eV/cell),total energy (Ha/atom),total magnetic moment (μB per cell)
1,26.3,-0.1713,0.00
2,2.3,-0.2353,0.00
3,2.1,-0.1670,1.04